La2AsCl, optimized geometry, DFT GGA-PBEsol; M_tot = 0.000 μB per atom; density of states at the Fermi level = 2.167 states/eV/cell; uncorrected formation energy = -1.6465 eV per atom
1.0
4.211 0.000 0.000
0.000 4.211 0.000
0.000 0.000 5.934
La As Cl
2 1 1
Direct
0.000 0.000 0.000
0.500 0.500 0.500
0.000 0.000 0.500
0.500 0.500 0.000